DFT (PBE) results for an optimized crystal structure of Sm7ErTm2.

* formation energy: 0.2 eV/f.u.
* raw total energy: -46.4 eV for the cell shown
* crystal system: triclinic
* D(E_F): 14.20 states/eV/cell

Unit cell a=6.2071 b=6.2091 c=9.4858 alpha=102.52 beta=109.06 gamma=99.48
Positions (direct):
Sm 0.0000 0.0000 0.0000
Sm 0.1978 0.9995 0.3993
Sm 0.2013 0.5025 0.9000
Sm 0.4026 0.5014 0.3010
Sm 0.5974 0.4986 0.6990
Sm 0.7987 0.4975 0.1000
Sm 0.8022 0.0005 0.6007
Er 0.0000 0.5000 0.5000
Tm 0.4003 0.9992 0.8000
Tm 0.5997 0.0008 0.2000

DFT (PBE) results for an optimized crystal structure of LiRe2Sb.

* raw total energy: -57.6 eV for the cell shown
* crystal system: tetragonal
* formation energy (no corrections): 530.3 meV/atom
* D(E_F): 3.88 states/eV/cell

Unit cell a=9.7684 b=9.7684 c=9.7684 alpha=157.13 beta=157.13 gamma=32.56
Positions (direct):
Li 0.0000 0.0000 0.0000
Li 0.7500 0.2500 0.5000
Re 0.0641 0.6250 0.9391
Re 0.3750 0.3141 0.4391
Re 0.6859 0.1250 0.0609
Re 0.8750 0.9359 0.5609
Sb 0.2500 0.7500 0.5000
Sb 0.5000 0.5000 0.0000

DFT (PBE) results for an optimized crystal structure of SbIr2Pd2.

* raw total energy: -62.7 eV for the cell shown
* crystal system: tetragonal
* formation energy (no corrections): 180.9 meV/atom
* D(E_F): 12.75 states/eV/cell

Unit cell a=6.6334 b=6.6334 c=3.9716 alpha=90.00 beta=90.00 gamma=90.00
Positions (direct):
Sb 0.0000 0.0000 0.0000
Sb 0.5000 0.5000 0.0000
Ir 0.1333 0.3667 0.0000
Ir 0.3667 0.8667 0.0000
Ir 0.6333 0.1333 0.0000
Ir 0.8667 0.6333 0.0000
Pd 0.1680 0.6680 0.5000
Pd 0.3320 0.1680 0.5000
Pd 0.6680 0.8320 0.5000
Pd 0.8320 0.3320 0.5000

DFT (PBE) results for an optimized crystal structure of NdTiAl4.

* formation energy: -2.0 eV/f.u.
* raw total energy: -29.6 eV for the cell shown
* crystal system: cubic
* D(E_F): 3.28 states/eV/cell

Unit cell a=5.4439 b=5.4439 c=5.4439 alpha=60.00 beta=60.00 gamma=60.00
Positions (direct):
Nd 0.0000 0.0000 0.0000
Ti 0.7500 0.7500 0.7500
Al 0.3755 0.3755 0.3755
Al 0.3755 0.3755 0.8734
Al 0.3755 0.8734 0.3755
Al 0.8734 0.3755 0.3755

DFT (PBE) results for an optimized crystal structure of Ac3Ge2Au4.

* formation energy: -7.5 eV/f.u.
* raw total energy: -42.1 eV for the cell shown
* crystal system: monoclinic
* D(E_F): 2.77 states/eV/cell

Unit cell a=6.2808 b=6.2808 c=9.2035 alpha=106.80 beta=106.80 gamma=43.38
Positions (direct):
Ac 0.0000 0.0000 0.0000
Ac 0.3351 0.3351 0.3352
Ac 0.6649 0.6649 0.6648
Ge 0.3913 0.3913 0.7204
Ge 0.6087 0.6087 0.2796
Au 0.0580 0.0580 0.3851
Au 0.2840 0.2840 0.9368
Au 0.7160 0.7160 0.0632
Au 0.9420 0.9420 0.6149

DFT (PBE) results for an optimized crystal structure of MnCoP2.

* formation energy: -1.0 eV/f.u.
* raw total energy: -28.1 eV for the cell shown
* crystal system: monoclinic
* D(E_F): 3.31 states/eV/cell

Unit cell a=3.8079 b=2.7232 c=4.6932 alpha=90.00 beta=113.40 gamma=90.00
Positions (direct):
Mn 0.0000 0.0000 0.0000
Co 0.5000 0.5000 0.5000
P 0.0000 0.0000 0.5000
P 0.5000 0.5000 0.0000

DFT (PBE) results for an optimized crystal structure of PmGeBi2.

* formation energy: -0.7 eV/f.u.
* raw total energy: -17.8 eV for the cell shown
* crystal system: trigonal
* D(E_F): 3.26 states/eV/cell

Unit cell a=8.2369 b=8.2369 c=8.2369 alpha=30.13 beta=30.13 gamma=30.13
Positions (direct):
Pm 0.0000 0.0000 0.0000
Ge 0.5000 0.5000 0.5000
Bi 0.2432 0.2432 0.2432
Bi 0.7568 0.7568 0.7568

DFT (PBE) results for an optimized crystal structure of RbSn3Sb.

* raw total energy: -34.8 eV for the cell shown
* crystal system: triclinic
* formation energy (no corrections): -65.1 meV/atom
* D(E_F): 2.80 states/eV/cell

Unit cell a=6.8581 b=7.0148 c=7.2058 alpha=90.00 beta=89.92 gamma=89.89
Positions (direct):
Rb 0.0000 0.0000 0.0000
Rb 0.5001 0.4752 0.5000
Sn 0.2480 0.9742 0.5242
Sn 0.2517 0.5013 0.0241
Sn 0.5001 0.8620 0.1799
Sn 0.7474 0.5010 0.0235
Sn 0.7524 0.9741 0.5235
Sn 0.9994 0.6133 0.6796
Sb 0.0007 0.3105 0.3816
Sb 0.4998 0.1649 0.8819

DFT (PBE) results for an optimized crystal structure of Tb2Pm2Er.

* formation energy: 0.7 eV/f.u.
* raw total energy: -45.2 eV for the cell shown
* crystal system: orthorhombic
* D(E_F): 14.48 states/eV/cell

Unit cell a=16.3717 b=16.3717 c=16.3717 alpha=167.38 beta=159.85 gamma=23.85
Positions (direct):
Tb 0.2709 0.0209 0.2500
Tb 0.3681 0.1181 0.2500
Tb 0.6319 0.8819 0.7500
Tb 0.7291 0.9791 0.7500
Pm 0.0594 0.8094 0.2500
Pm 0.4564 0.7064 0.7500
Pm 0.5436 0.2936 0.2500
Pm 0.9406 0.1906 0.7500
Er 0.1736 0.4236 0.7500
Er 0.8264 0.5764 0.2500

DFT (PBE) results for an optimized crystal structure of KCd2Co2.

* formation energy: 2.0 eV/f.u.
* raw total energy: -30.2 eV for the cell shown
* crystal system: tetragonal
* D(E_F): 7.65 states/eV/cell

Unit cell a=8.2799 b=8.2799 c=2.8430 alpha=90.00 beta=90.00 gamma=90.00
Positions (direct):
K 0.0000 0.0000 0.0000
K 0.5000 0.5000 0.0000
Cd 0.1852 0.3148 0.5000
Cd 0.3148 0.8148 0.5000
Cd 0.6852 0.1852 0.5000
Cd 0.8148 0.6852 0.5000
Co 0.0968 0.5968 0.0000
Co 0.4032 0.0968 0.0000
Co 0.5968 0.9032 0.0000
Co 0.9032 0.4032 0.0000

DFT (PBE) results for an optimized crystal structure of K2PbI2F2.

* raw total energy: -25.5 eV for the cell shown
* crystal system: tetragonal
* formation energy (no corrections): -1826.9 meV/atom
* D(E_F): 0.00 states/eV/cell

Unit cell a=10.0241 b=10.0241 c=10.0241 alpha=151.64 beta=151.64 gamma=40.54
Positions (direct):
K 0.1221 0.1221 0.0000
K 0.8779 0.8779 0.0000
Pb 0.5000 0.5000 0.0000
I 0.3274 0.3274 0.0000
I 0.6726 0.6726 0.0000
F 0.0000 0.5000 0.5000
F 0.5000 0.0000 0.5000

DFT (PBE) results for an optimized crystal structure of Pm6Pd2S.

* raw total energy: -100.0 eV for the cell shown
* crystal system: monoclinic
* formation energy (no corrections): -777.3 meV/atom
* D(E_F): 19.18 states/eV/cell

Unit cell a=6.6915 b=7.4400 c=12.1444 alpha=90.00 beta=121.56 gamma=90.00
Positions (direct):
Pm 0.0911 0.1857 0.4309
Pm 0.0911 0.3143 0.9309
Pm 0.2621 0.6710 0.4316
Pm 0.2621 0.8290 0.9316
Pm 0.3992 0.0369 0.2470
Pm 0.3992 0.4631 0.7470
Pm 0.6008 0.5369 0.2530
Pm 0.6008 0.9631 0.7530
Pm 0.7379 0.1710 0.0684
Pm 0.7379 0.3290 0.5684
Pm 0.9089 0.6857 0.0691
Pm 0.9089 0.8143 0.5691
Pd 0.1765 0.1166 0.7411
Pd 0.1765 0.3834 0.2411
Pd 0.8235 0.6166 0.7589
Pd 0.8235 0.8834 0.2589
S 0.5000 0.0000 0.5000
S 0.5000 0.5000 0.0000

DFT (PBE) results for an optimized crystal structure of CaMg4Tc.

* formation energy: 2.1 eV/f.u.
* raw total energy: -16.6 eV for the cell shown
* crystal system: cubic
* D(E_F): 5.41 states/eV/cell

Unit cell a=5.7345 b=5.7345 c=5.7345 alpha=60.00 beta=60.00 gamma=60.00
Positions (direct):
Ca 0.0000 0.0000 0.0000
Mg 0.1296 0.6235 0.6235
Mg 0.6235 0.1296 0.6235
Mg 0.6235 0.6235 0.1296
Mg 0.6235 0.6235 0.6235
Tc 0.2500 0.2500 0.2500

DFT (PBE) results for an optimized crystal structure of PaTiSe6.

* raw total energy: -44.7 eV for the cell shown
* crystal system: triclinic
* formation energy (no corrections): -794.4 meV/atom
* D(E_F): 3.91 states/eV/cell

Unit cell a=5.0992 b=5.8389 c=6.7653 alpha=100.37 beta=90.53 gamma=101.21
Positions (direct):
Pa 0.0000 0.0000 0.0000
Ti 0.5000 0.5000 0.5000
Se 0.1530 0.2391 0.6829
Se 0.1767 0.5035 0.2146
Se 0.4704 0.8631 0.7682
Se 0.5296 0.1369 0.2318
Se 0.8233 0.4965 0.7854
Se 0.8470 0.7609 0.3171

DFT (PBE) results for an optimized crystal structure of NiHgW2.

* formation energy: 2.4 eV/f.u.
* raw total energy: -29.6 eV for the cell shown
* crystal system: tetragonal
* D(E_F): 4.69 states/eV/cell

Unit cell a=3.2529 b=3.2529 c=6.1650 alpha=90.00 beta=90.00 gamma=90.00
Positions (direct):
Ni 0.0000 0.0000 0.0000
Hg 0.0000 0.0000 0.5000
W 0.5000 0.5000 0.1964
W 0.5000 0.5000 0.8036

DFT (PBE) results for an optimized crystal structure of La2TbNi9.

* formation energy: -4.1 eV/f.u.
* raw total energy: -70.6 eV for the cell shown
* crystal system: trigonal
* D(E_F): 14.32 states/eV/cell

Unit cell a=8.8551 b=8.8551 c=8.8551 alpha=32.78 beta=32.78 gamma=32.78
Positions (direct):
La 0.1377 0.1377 0.1377
La 0.8623 0.8623 0.8623
Tb 0.0000 0.0000 0.0000
Ni 0.0803 0.5785 0.5785
Ni 0.3326 0.3326 0.3326
Ni 0.4215 0.4215 0.9197
Ni 0.4215 0.9197 0.4215
Ni 0.5000 0.5000 0.5000
Ni 0.5785 0.0803 0.5785
Ni 0.5785 0.5785 0.0803
Ni 0.6674 0.6674 0.6674
Ni 0.9197 0.4215 0.4215

DFT (PBE) results for an optimized crystal structure of MgSbTe2.

* raw total energy: -13.1 eV for the cell shown
* crystal system: monoclinic
* formation energy (no corrections): -280.8 meV/atom
* D(E_F): 2.14 states/eV/cell

Unit cell a=4.3771 b=4.3771 c=7.6249 alpha=106.43 beta=106.43 gamma=59.82
Positions (direct):
Mg 0.0000 0.0000 0.0000
Sb 0.5000 0.5000 0.5000
Te 0.2540 0.2540 0.7643
Te 0.7460 0.7460 0.2357

DFT (PBE) results for an optimized crystal structure of MnHg2Rh.

* formation energy: 1.0 eV/f.u.
* raw total energy: -16.1 eV for the cell shown
* crystal system: cubic
* D(E_F): 2.25 states/eV/cell

Unit cell a=4.6522 b=4.6522 c=4.6522 alpha=60.00 beta=60.00 gamma=60.00
Positions (direct):
Mn 0.0000 0.0000 0.0000
Hg 0.5000 0.5000 0.5000
Hg 0.7500 0.7500 0.7500
Rh 0.2500 0.2500 0.2500

DFT (PBE) results for an optimized crystal structure of Mg4ScIn.

* formation energy: 0.3 eV/f.u.
* raw total energy: -15.1 eV for the cell shown
* crystal system: cubic
* D(E_F): 4.64 states/eV/cell

Unit cell a=5.8526 b=5.8526 c=5.8526 alpha=60.00 beta=60.00 gamma=60.00
Positions (direct):
Mg 0.1246 0.1246 0.1246
Mg 0.1246 0.1246 0.6263
Mg 0.1246 0.6263 0.1246
Mg 0.6263 0.1246 0.1246
Sc 0.7500 0.7500 0.7500
In 0.5000 0.5000 0.5000

DFT (PBE) results for an optimized crystal structure of SrRuF2.

* raw total energy: -40.2 eV for the cell shown
* crystal system: tetragonal
* formation energy (no corrections): -1345.4 meV/atom
* D(E_F): 2.68 states/eV/cell

Unit cell a=8.0284 b=8.0284 c=8.0284 alpha=147.73 beta=147.73 gamma=46.28
Positions (direct):
Sr 0.0000 0.0000 0.0000
Sr 0.7500 0.2500 0.5000
Ru 0.2500 0.7500 0.5000
Ru 0.5000 0.5000 0.0000
F 0.1613 0.6250 0.0363
F 0.3750 0.4113 0.5363
F 0.5887 0.1250 0.9637
F 0.8750 0.8387 0.4637

DFT (PBE) results for an optimized crystal structure of Ba3ZnPd.

* formation energy: -0.7 eV/f.u.
* raw total energy: -12.9 eV for the cell shown
* crystal system: cubic
* D(E_F): 2.72 states/eV/cell

Unit cell a=6.1895 b=6.1895 c=6.1895 alpha=90.00 beta=90.00 gamma=90.00
Positions (direct):
Ba 0.0000 0.0000 0.5000
Ba 0.0000 0.5000 0.0000
Ba 0.5000 0.0000 0.0000
Zn 0.5000 0.5000 0.5000
Pd 0.0000 0.0000 0.0000

DFT (PBE) results for an optimized crystal structure of CaTc2Ru.

* formation energy: 1.7 eV/f.u.
* raw total energy: -30.3 eV for the cell shown
* crystal system: monoclinic
* D(E_F): 4.17 states/eV/cell

Unit cell a=4.9872 b=4.9872 c=5.2494 alpha=106.44 beta=106.44 gamma=35.37
Positions (direct):
Ca 0.0000 0.0000 0.0000
Tc 0.2131 0.2131 0.6665
Tc 0.5002 0.5002 0.4989
Ru 0.7770 0.7770 0.3077

DFT (PBE) results for an optimized crystal structure of Ce2Ho2Sb5.

* raw total energy: -99.3 eV for the cell shown
* crystal system: orthorhombic
* formation energy (no corrections): -891.1 meV/atom
* D(E_F): 12.43 states/eV/cell

Unit cell a=8.7895 b=8.7895 c=8.2100 alpha=90.00 beta=90.00 gamma=55.51
Positions (direct):
Ce 0.1920 0.1920 0.0000
Ce 0.3080 0.3080 0.5000
Ce 0.6921 0.6921 0.5000
Ce 0.8079 0.8079 0.0000
Ho 0.1527 0.8473 0.6549
Ho 0.3473 0.6527 0.1549
Ho 0.6527 0.3473 0.8451
Ho 0.8473 0.1527 0.3451
Sb 0.0000 0.0000 0.0000
Sb 0.0142 0.7103 0.3499
Sb 0.2103 0.5142 0.8499
Sb 0.2897 0.9858 0.3499
Sb 0.4858 0.7897 0.8499
Sb 0.5000 0.5000 0.5000
Sb 0.5142 0.2103 0.1501
Sb 0.7103 0.0142 0.6501
Sb 0.7897 0.4858 0.1501
Sb 0.9858 0.2897 0.6501

DFT (PBE) results for an optimized crystal structure of SmYAg.

* formation energy: -0.6 eV/f.u.
* raw total energy: -58.4 eV for the cell shown
* crystal system: orthorhombic
* D(E_F): 13.52 states/eV/cell

Unit cell a=7.0228 b=5.1612 c=9.2540 alpha=90.00 beta=90.00 gamma=90.00
Positions (direct):
Sm 0.1552 0.2500 0.0809
Sm 0.3448 0.7500 0.5809
Sm 0.6552 0.2500 0.4191
Sm 0.8448 0.7500 0.9191
Y 0.0127 0.2500 0.6866
Y 0.4873 0.7500 0.1866
Y 0.5127 0.2500 0.8134
Y 0.9873 0.7500 0.3134
Ag 0.2299 0.2500 0.4013
Ag 0.2701 0.7500 0.9013
Ag 0.7299 0.2500 0.0987
Ag 0.7701 0.7500 0.5987